Below is a relaxed structure of PmDy2Tm8, with properties calculated at the GGA-PBE level.

```
data_PmDy2Tm8
_chemical_formula_sum 'Pm2 Dy4 Tm16'
_symmetry_space_group_name_H-M 'C 1 2/m 1'
_symmetry_Int_Tables_number 12
_symmetry_space_group_name_Hall '-C 2y'
_cell_length_a 17.912
_cell_length_b 4.963
_cell_length_c 7.855
_cell_angle_alpha 90.00
_cell_angle_beta 105.27
_cell_angle_gamma 90.00
loop_
_atom_site_label
_atom_site_fract_x
_atom_site_fract_y
_atom_site_fract_z
_atom_site_occupancy
Pm1 0.000 0.000 0.000 1
Dy1 0.228 0.500 0.637 1
Tm1 0.045 0.500 0.726 1
Tm2 0.091 0.000 0.456 1
Tm3 0.137 0.500 0.182 1
Tm4 0.182 0.000 0.908 1
```

Summary:
Magnetization: 0.00 μB/f.u.
Total energy: -4.496 eV per atom
Energy of formation: 0.025 eV/atom